DFT (GGA-PBE) results for a geometry-optimized AcPmHoGa structure.

Energy relative to the elements in eV per atom: 0.04
Electronic total energy in eV per atom: -4.079
Space group: F-43m, No. 216
Total magnetization in μB/cell: 0.00

Cell lengths 5.5189, 5.5189, 5.5189 Å; angles 60.00, 60.00, 60.00 degrees
Sites, in units of the cell vectors:
Ga 0.2500 0.2500 0.2500
Ac 0.7500 0.7500 0.7500
Pm 0.0000 0.0000 0.0000
Ho 0.5000 0.5000 0.5000